A plane-wave DFT calculation with GGA-PBE was carried out for a relaxed structure of Tl2Bi2O.

Cell: 6.5243 6.5243 6.5279 Å, 90.00 90.00 90.00°
Atoms (fractional coordinates):
O 0.5000 0.5000 0.0000
O 0.0000 0.0000 0.0000
Bi 0.7083 0.2083 0.5000
Bi 0.2917 0.7917 0.5000
Bi 0.2083 0.2917 0.5000
Bi 0.7917 0.7083 0.5000
Tl 0.3322 0.8322 0.0000
Tl 0.1678 0.3322 0.0000
Tl 0.8322 0.6678 0.0000
Tl 0.6678 0.1678 0.0000

Results
uncorrected energy = -17.658 eV per formula unit
raw formation energy = -0.041 eV per atom
SG = P4/mbm, No. 127
Fermi-level density of states = 6.789 states/eV/cell
magnetic moment = 0.0 μB per cell